Li8Sb5Pb | PBE | optimized geometry

```
data_Li8Sb5Pb
_cell_length_a 8.167
_cell_length_b 8.167
_cell_length_c 9.099
_cell_angle_alpha 90.00
_cell_angle_beta 90.00
_cell_angle_gamma 90.00
_space_group_name_H-M_alt 'I -4'
_space_group_IT_number 82
_space_group_name_Hall 'I -4'
loop_
_atom_site_label
_atom_site_type_symbol
_atom_site_fract_x
_atom_site_fract_y
_atom_site_fract_z
Li1 Li 0.086 0.137 0.324
Li2 Li 0.088 0.344 0.875
Sb1 Sb 0.000 0.000 0.000
Sb2 Sb 0.204 0.251 0.597
Pb1 Pb 0.000 0.500 0.250
```


# PBE Li2SbPb2, optimized geometry
data_Li2SbPb2
_cell_length_a 8.624
_cell_length_b 8.624
_cell_length_c 3.328
_cell_angle_alpha 90.00
_cell_angle_beta 90.00
_cell_angle_gamma 90.00
_space_group_name_H-M_alt 'P 4/m b m'
_space_group_IT_number 127
_space_group_name_Hall '-P 4 2ab'
loop_
_atom_site_label
_atom_site_type_symbol
_atom_site_fract_x
_atom_site_fract_y
_atom_site_fract_z
Li1 Li 0.163 0.337 0.000
Sb1 Sb 0.000 0.000 0.500
Pb1 Pb 0.137 0.637 0.500
# - E above lowest polymorph: 84 meV/atom


LiSb2Pb | PBE | optimized geometry

```
data_LiSb2Pb
_cell_length_a 10.984
_cell_length_b 3.588
_cell_length_c 5.636
_cell_angle_alpha 90.00
_cell_angle_beta 105.85
_cell_angle_gamma 90.00
_space_group_name_H-M_alt 'C 1 m 1'
_space_group_IT_number 8
_space_group_name_Hall 'C -2y'
loop_
_atom_site_label
_atom_site_type_symbol
_atom_site_fract_x
_atom_site_fract_y
_atom_site_fract_z
Li1 Li 0.000 0.000 0.000
Sb1 Sb 0.018 0.500 0.557
Sb2 Sb 0.266 0.000 0.772
Pb1 Pb 0.257 0.500 0.267
```


no.,N(E_F) (states/eV/atom),energy (eV per atom),formation energy from raw total energies (eV/atom)
1,0.367,-3.19,-0.363
2,0.575,-3.20,-0.127
3,0.534,-3.52,-0.054